1.
VASP calculation (SCAN) on Rb2BrCl at its PBEsol-relaxed geometry.

abc: 8.4689 8.4689 9.6322
angles: 90.00 90.00 90.00
Closest atoms and distances in Å follow each position.
Space group I-42d (No. 122)
Inequivalent atoms, fractional coordinates:
Rb  0.2346  0.2500  0.1250 (multiplicity 8)  2 Cl 3.14, 2 Br 3.31
Br  0.0000  0.0000  0.5000 (multiplicity 4)  4 Rb 3.31
Cl  0.0000  0.0000  0.0000 (multiplicity 4)  4 Rb 3.14

Results
Offset from the most stable computed form ... 0.0931 eV per atom

2.
VASP calculation (SCAN) on Rb2BrCl at its PBEsol-relaxed geometry.

abc: 7.9750 7.9750 7.9750
angles: 90.00 90.00 90.00
Closest atoms and distances in Å follow each position.
Space group Fm-3m (No. 225)
Inequivalent atoms, fractional coordinates:
Rb  0.2500  0.2500  0.2500 (multiplicity 8)  4 Cl 3.45, 4 Br 3.45
Br  0.0000  0.0000  0.0000 (multiplicity 4)  8 Rb 3.45
Cl  0.0000  0.0000  0.5000 (multiplicity 4)  8 Rb 3.45

Results
Offset from the most stable computed form ... 0.0000 eV per atom

3.
VASP calculation (SCAN) on RbBrCl3 at its PBEsol-relaxed geometry.

abc: 5.2837 7.0754 8.8959
angles: 97.98 90.46 102.33
Closest atoms and distances in Å follow each position.
Space group P1 (No. 1)
Inequivalent atoms, fractional coordinates:
Rb  0.0000  0.0000  0.0000 (multiplicity 1)  6 Cl 3.26-3.49, 1 Br 3.60
Rb  0.4948  0.6423  0.4815 (multiplicity 1)  7 Cl 3.31-3.42
Br  0.4604  0.1229  0.3178 (multiplicity 1)  2 Cl 2.32-2.47
Br  0.7561  0.3076  0.7371 (multiplicity 1)  2 Cl 2.38-2.41
Cl  0.0633  0.8723  0.3425 (multiplicity 1)  1 Br 2.47
Cl  0.2829  0.6434  0.1191 (multiplicity 1)  1 Cl 2.09
Cl  0.4772  0.4918  0.9564 (multiplicity 1)  1 Cl 2.09
Cl  0.5051  0.9917  0.7759 (multiplicity 1)  1 Br 2.41
Cl  0.8354  0.3475  0.2788 (multiplicity 1)  1 Br 2.32
Cl  0.9943  0.6232  0.7044 (multiplicity 1)  1 Br 2.38

Results
E ... -13.763 eV/atom

4.
VASP calculation (SCAN) on RbScBr2Cl at its PBEsol-relaxed geometry.

abc: 5.9869 5.9869 5.4703
angles: 90.00 90.00 90.00
Closest atoms and distances in Å follow each position.
Space group P4/mmm (No. 123)
Inequivalent atoms, fractional coordinates:
Rb  0.0000  0.0000  0.0000 (multiplicity 1)  2 Cl 2.74
Sc  0.5000  0.5000  0.0000 (multiplicity 1)  8 Br 4.05, 4 Rb 4.23
Br  0.0000  0.5000  0.5000 (multiplicity 2)  2 Cl 2.99
Cl  0.0000  0.0000  0.5000 (multiplicity 1)  2 Rb 2.74, 4 Br 2.99

Results
E ... -16.592 eV/atom

5.
VASP calculation (SCAN) on ReBrCl at its PBEsol-relaxed geometry.

abc: 6.6371 6.6371 6.6371
angles: 90.00 90.00 90.00
Closest atoms and distances in Å follow each position.
Space group F-43m (No. 216)
Inequivalent atoms, fractional coordinates:
Re  0.0000  0.0000  0.0000 (multiplicity 4)  4 Cl 2.87
Br  0.0000  0.0000  0.5000 (multiplicity 4)  4 Cl 2.87
Cl  0.2500  0.2500  0.2500 (multiplicity 4)  4 Re 2.87, 4 Br 2.87

Results
E ... -31.113 eV/atom

6.
VASP calculation (SCAN) on Re2BrCl at its PBEsol-relaxed geometry.

abc: 6.0033 3.4279 8.6959
angles: 90.00 90.19 90.00
Closest atoms and distances in Å follow each position.
Space group Cm (No. 8)
Inequivalent atoms, fractional coordinates:
Re  0.0000  0.0000  0.0000 (multiplicity 2)  3 Re 2.39-2.45
Re  0.1608  0.5000  0.1561 (multiplicity 2)  1 Cl 2.25, 3 Re 2.39-2.45
Br  0.3165  0.0000  0.7779 (multiplicity 2)  3 Re 2.71-2.80
Cl  0.1510  0.5000  0.4143 (multiplicity 2)  1 Re 2.25

Results
Offset from the most stable computed form ... 0.0000 eV per atom

7.
VASP calculation (SCAN) on Re2BrCl at its PBEsol-relaxed geometry.

abc: 2.9239 3.9923 6.2158
angles: 90.00 90.00 90.00
Closest atoms and distances in Å follow each position.
Space group Pmmm (No. 47)
Inequivalent atoms, fractional coordinates:
Re  0.0000  0.0000  0.1798 (multiplicity 2)  1 Re 2.24
Br  0.5000  0.5000  0.5000 (multiplicity 1)  2 Br 2.92, 2 Cl 3.11, 8 Re 3.18
Cl  0.5000  0.5000  0.0000 (multiplicity 1)  8 Re 2.71, 2 Cl 2.92

Results
Offset from the most stable computed form ... 1.7987 eV per atom

8.
VASP calculation (SCAN) on Re3BrCl at its PBEsol-relaxed geometry.

abc: 4.3970 4.3970 4.3970
angles: 90.00 90.00 90.00
Closest atoms and distances in Å follow each position.
Space group Pm-3m (No. 221)
Inequivalent atoms, fractional coordinates:
Re  0.0000  0.0000  0.5000 (multiplicity 3)  2 Cl 2.20
Br  0.5000  0.5000  0.5000 (multiplicity 1)  12 Re 3.11
Cl  0.0000  0.0000  0.0000 (multiplicity 1)  6 Re 2.20

Results
Offset from the most stable computed form ... 0.0000 eV per atom

Number 1: calculated volume 172.7 Å³/f.u.. Number 2: calculated volume 126.8 Å³/f.u.. Number 3: calculated volume 160.8 Å³/f.u.. Number 4: calculated volume 196.1 Å³/f.u.. Number 5: calculated volume 73.1 Å³/f.u.. Number 6: calculated volume 89.5 Å³/f.u.. Number 7: calculated volume 72.6 Å³/f.u.. Number 8: calculated volume 85.0 Å³/f.u..